Compound: Nb3VGa
Source: the Alexandria database
Functional: PBE
Structure: relaxed

a = 4.634 Å, b = 4.634 Å, c = 4.634 Å
α = 90.00°, β = 90.00°, γ = 90.00°
Space group Pm-3m (No. 221)
One atom of each set of equivalent atoms:
1 Nb 0.000 0.000 0.500 x3
2 V 0.000 0.000 0.000 x1
3 Ga 0.500 0.500 0.500 x1

Calculated values
energy of formation: 0.87 eV per atom
offset from the most stable computed form: 864 meV/atom
M_tot: 0.0000 μB per atom